[1]
First-principles (PBE) data for a relaxed structure of CaTb2Y4, as listed in the Alexandria database.

Geometry as POSCAR:
```
CaTb2Y4
1.0
-0.3796 0.8687 3.4660
-2.2684 -1.8555 2.0793
14.4834 -13.5234 6.8383
Y Tb Ca
4 2 1
direct
0.2819 0.2819 0.1543
0.7181 0.7181 0.8457
0.8566 0.8566 0.4302
0.1434 0.1434 0.5698
0.5697 0.5697 0.2908
0.4303 0.4303 0.7092
0.0000 0.0000 0.0000
```

As for the symmetry: No. 166. As for the volume: 33.321 Å³ per atom. The value obtained for the calculated total energy is -36.8 eV per cell.

***

[2]
First-principles (PBE) data for a relaxed structure of CaTb2Y9, as listed in the Alexandria database.

Geometry as POSCAR:
```
CaTb2Y9
1.0
5.0840 0.0000 0.0000
0.0000 5.0840 0.0000
0.0000 0.0000 15.2572
Ca Y Tb
1 9 2
direct
0.0000 0.0000 0.0000
0.5000 0.0000 0.1733
0.0000 0.5000 0.5000
0.5000 0.0000 0.8267
0.5000 0.0000 0.5000
0.5000 0.5000 0.3339
0.0000 0.5000 0.1733
0.0000 0.5000 0.8267
0.5000 0.5000 0.6661
0.5000 0.5000 0.0000
0.0000 0.0000 0.6654
0.0000 0.0000 0.3346
```

As for the symmetry: No. 123. As for the volume: 32.863 Å³ per atom. The value obtained for the calculated total energy is -68.8 eV per cell.

***

[3]
First-principles (PBE) data for a relaxed structure of CaTb5Y4, as listed in the Alexandria database.

Geometry as POSCAR:
```
CaTb5Y4
1.0
3.5893 0.0000 0.0000
0.0000 3.5893 0.0000
0.0000 0.0000 25.5573
Y Tb Ca
4 5 1
direct
0.0000 0.0000 0.7955
0.0000 0.0000 0.4017
0.0000 0.0000 0.2045
0.0000 0.0000 0.5983
0.5000 0.5000 0.6959
0.5000 0.5000 0.3041
0.5000 0.5000 0.8903
0.5000 0.5000 0.5000
0.5000 0.5000 0.1097
0.0000 0.0000 0.0000
```

As for the symmetry: No. 123. As for the volume: 32.925 Å³ per atom. The value obtained for the calculated total energy is -50.6 eV per cell.

***

[4]
First-principles (PBE) data for a relaxed structure of CaTbY2, as listed in the Alexandria database.

Geometry as POSCAR:
```
CaTbY2
1.0
3.6108 0.0000 0.0000
1.8054 3.1270 0.0000
1.8054 1.0423 12.0648
Tb Y Ca
1 2 1
direct
0.6663 0.6663 0.0012
0.2546 0.2546 0.2361
0.0786 0.0786 0.7643
0.5005 0.5005 0.4984
```

As for the symmetry: No. 160. As for the volume: 34.056 Å³ per atom. Its offset from the most stable computed form is 0 meV per atom.